# PBE with a Hubbard U NaVF6, optimized geometry
data_NaVF6
_chemical_formula_sum 'Na4 V4 F24'
_cell_length_a 9.656
_cell_length_b 5.960
_cell_length_c 7.986
_cell_angle_alpha 90.00
_cell_angle_beta 90.00
_cell_angle_gamma 90.00
_symmetry_space_group_name_H-M 'P n m a'
_symmetry_Int_Tables_number 62
loop_
_symmetry_equiv_pos_as_xyz
'x,y,z'
'-x,-y,-z'
'-x+1/2,-y,z+1/2'
'x+1/2,y,-z+1/2'
'x+1/2,-y+1/2,-z+1/2'
'-x+1/2,y+1/2,z+1/2'
'-x,y+1/2,-z'
'x,-y+1/2,z'
loop_
_atom_site_label
_atom_site_type_symbol
_atom_site_fract_x
_atom_site_fract_y
_atom_site_fract_z
Na1 Na 0.007 0.250 0.176
V1 V 0.231 0.250 0.615
F1 F 0.111 0.031 0.672
F2 F 0.140 0.539 0.050
F3 F 0.165 0.250 0.402
F4 F 0.196 0.750 0.320
# Final energy: -5.127 eV/atom
# Magnetic moment: 0.101 μB/f.u.